## Cs3CdTc2O8 (PBE)

Data for a relaxed structure of Cs3CdTc2O8.

Computed properties:
Space group = P-3m1 (164)
Formation energy without anion corrections = -21.2 eV per formula unit
DOS(E_F) = 0.619 states/eV per atom

Cell and atoms, written as POSCAR:
```
Cs3CdTc2O8
1.0
6.5788 0.0000 0.0000
-3.2894 5.6974 0.0000
0.0000 0.0000 9.7040
Cs Cd Tc O
3 1 2 8
Direct
0.0000 0.0000 0.0000 Cs
0.3333 0.6667 0.6914 Cs
0.6667 0.3333 0.3086 Cs
0.0000 0.0000 0.5000 Cd
0.3333 0.6667 0.1773 Tc
0.6667 0.3333 0.8227 Tc
0.1874 0.3749 0.2401 O
0.1874 0.8126 0.2401 O
0.3333 0.6667 0.9954 O
0.3749 0.1874 0.7599 O
0.6251 0.8126 0.2401 O
0.6667 0.3333 0.0046 O
0.8126 0.1874 0.7599 O
0.8126 0.6251 0.7599 O
```